No. 1
Density functional theory data (GGA-PBE) for a geometry-optimized ZnHF structure.

Properties
SG = Pmm2 (25)
N(E_F) = 0.000 states/eV per atom
energy above the lowest structure with this stoichiometry = 0.043 eV per atom
crystal system = orthorhombic

Cell and atoms, written as POSCAR:
```
ZnHF
1.0
2.930 0.000 0.000
0.000 3.298 0.000
0.000 0.000 3.949
Zn H F
1 1 1
direct
0.000 0.000 0.000 Zn
0.500 0.000 0.203 H
0.000 0.500 0.719 F
```



No. 2
Density functional theory data (GGA-PBE) for a geometry-optimized LiIn2Bi structure.

Properties
SG = I4/mmm (139)
N(E_F) = 0.393 states/eV per atom
crystal system = tetragonal
total energy = -2.976 eV per atom

Cell and atoms, written as POSCAR:
```
LiIn2Bi
1.0
-2.455 2.455 8.518
2.455 -2.455 8.518
2.455 2.455 -8.518
Li In Bi
2 4 2
direct
0.250 0.750 0.500 Li
0.750 0.250 0.500 Li
0.000 0.500 0.500 In
0.140 0.140 0.000 In
0.500 0.000 0.500 In
0.860 0.860 0.000 In
0.354 0.354 0.000 Bi
0.646 0.646 0.000 Bi
```



No. 3
Density functional theory data (GGA-PBE) for a geometry-optimized NbRh3 structure.

Properties
SG = P6_3/mmc (194)
N(E_F) = 0.491 states/eV per atom
crystal system = hexagonal
total energy = -8.556 eV per atom

Cell and atoms, written as POSCAR:
```
NbRh3
1.0
5.531 0.000 0.000
-2.766 4.790 0.000
0.000 0.000 13.479
Nb Rh
6 18
direct
0.000 0.000 0.250 Nb
0.000 0.000 0.750 Nb
0.333 0.667 0.089 Nb
0.333 0.667 0.411 Nb
0.667 0.333 0.589 Nb
0.667 0.333 0.911 Nb
0.008 0.504 0.750 Rh
0.166 0.332 0.583 Rh
0.166 0.332 0.917 Rh
0.166 0.834 0.583 Rh
0.166 0.834 0.917 Rh
0.332 0.166 0.083 Rh
0.332 0.166 0.417 Rh
0.496 0.504 0.750 Rh
0.496 0.992 0.750 Rh
0.504 0.008 0.250 Rh
0.504 0.496 0.250 Rh
0.668 0.834 0.583 Rh
0.668 0.834 0.917 Rh
0.834 0.166 0.083 Rh
0.834 0.166 0.417 Rh
0.834 0.668 0.083 Rh
0.834 0.668 0.417 Rh
0.992 0.496 0.250 Rh
```



No. 4
Density functional theory data (GGA-PBE) for a geometry-optimized MnVCuPd structure.

Properties
SG = F-43m (216)
N(E_F) = 1.148 states/eV per atom
crystal system = cubic
total energy = -6.880 eV per atom

Cell and atoms, written as POSCAR:
```
MnVCuPd
1.0
0.000 3.021 3.021
3.021 0.000 3.021
3.021 3.021 0.000
Mn V Cu Pd
1 1 1 1
direct
0.000 0.000 0.000 Mn
0.750 0.750 0.750 V
0.500 0.500 0.500 Cu
0.250 0.250 0.250 Pd
```